(1)
Density functional theory data (GGA-PBE) for crystalline TcSbW2 at its relaxed geometry.

a = 3.245 Å, b = 4.765 Å, c = 9.059 Å
α = 90.00°, β = 90.00°, γ = 90.00°
Space group Cmm2 (No. 35)
Unique sites:
1 Tc 0.000 0.000 0.000 x2
2 Sb 0.000 0.500 0.731 x2
3 W 0.000 0.000 0.463 x2
4 W 0.000 0.500 0.225 x2

Properties
* M_tot: 0.0 μB/cell
* energy: -9.57 eV/atom
* volume: 70.0 Å³/f.u.
* formation energy (no corrections): 51.26 kJ/mol of atoms

(2)
Density functional theory data (GGA-PBE) for crystalline TcSbW2 at its relaxed geometry.

a = 9.315 Å, b = 3.126 Å, c = 4.847 Å
α = 90.00°, β = 105.47°, γ = 90.00°
Space group Cm (No. 8)
Unique sites:
1 Tc 0.000 0.000 0.000 x2
2 Sb 0.241 0.000 0.683 x2
3 W 0.234 0.500 0.168 x2
4 W 0.484 0.000 0.465 x2

Properties
* M_tot: 0.0 μB/cell
* energy: -9.65 eV/atom
* volume: 68.0 Å³/f.u.
* formation energy (no corrections): 43.07 kJ/mol of atoms

Question: What is the energy in the second record?
Answer: -9.65 eV/atom

Please write out number 2 again, unchanged.
Density functional theory data (GGA-PBE) for crystalline TcSbW2 at its relaxed geometry.

a = 9.315 Å, b = 3.126 Å, c = 4.847 Å
α = 90.00°, β = 105.47°, γ = 90.00°
Space group Cm (No. 8)
Unique sites:
1 Tc 0.000 0.000 0.000 x2
2 Sb 0.241 0.000 0.683 x2
3 W 0.234 0.500 0.168 x2
4 W 0.484 0.000 0.465 x2

Properties
* M_tot: 0.0 μB/cell
* energy: -9.65 eV/atom
* volume: 68.0 Å³/f.u.
* formation energy (no corrections): 43.07 kJ/mol of atoms